1.
An optimized crystal structure of ErPuGeAu. Source: the Alexandria database, functional GGA-PBE.

The structure in POSCAR format:
```
ErPuGeAu
1.0
0.000 3.597 3.597
3.597 0.000 3.597
3.597 3.597 0.000
Er Pu Ge Au
1 1 1 1
Direct
0.000 0.000 0.000
0.500 0.500 0.500
0.250 0.250 0.250
0.750 0.750 0.750
```

* symmetry: No. 216

2.
An optimized crystal structure of ErPu2Ge2Au2. Source: the Alexandria database, functional GGA-PBE.

The structure in POSCAR format:
```
ErPu2Ge2Au2
1.0
2.267 1.309 8.520
-2.267 1.309 8.520
0.000 -2.618 8.520
Er Pu Ge Au
1 2 2 2
Direct
0.000 0.000 0.000
0.140 0.140 0.140
0.860 0.860 0.860
0.264 0.264 0.264
0.736 0.736 0.736
0.410 0.410 0.410
0.590 0.590 0.590
```

* symmetry: No. 166

3.
An optimized crystal structure of ErScGeAu. Source: the Alexandria database, functional GGA-PBE.

The structure in POSCAR format:
```
ErScGeAu
1.0
0.000 3.480 3.480
3.480 0.000 3.480
3.480 3.480 0.000
Er Sc Ge Au
1 1 1 1
Direct
0.000 0.000 0.000
0.500 0.500 0.500
0.250 0.250 0.250
0.750 0.750 0.750
```

* symmetry: No. 216

4.
An optimized crystal structure of Er8Ge3AuSe4. Source: the Alexandria database, functional GGA-PBE.

The structure in POSCAR format:
```
Er8Ge3AuSe4
1.0
4.078 2.355 6.770
-4.078 2.355 6.770
0.000 -4.709 6.770
Er Ge Au Se
8 3 1 4
Direct
0.240 0.751 0.751
0.245 0.245 0.245
0.249 0.249 0.760
0.249 0.760 0.249
0.751 0.240 0.751
0.751 0.751 0.240
0.755 0.755 0.755
0.760 0.249 0.249
0.000 0.000 0.500
0.000 0.500 0.000
0.500 0.000 0.000
0.500 0.500 0.500
0.000 0.000 0.000
0.000 0.500 0.500
0.500 0.000 0.500
0.500 0.500 0.000
```

* symmetry: No. 166
* formation energy from raw total energies: -1319 meV/atom

In order of appearance, uncorrected energy = -29.09 -52.12 -21.70 -88.67 eV per formula unit.